Entry 1:
# GGA-PBEsol Li2AsRu, relaxed
data_Li2AsRu
_chemical_formula_sum 'Li4 As2 Ru2'
_cell_length_a 4.740
_cell_length_b 8.738
_cell_length_c 2.818
_cell_angle_alpha 90.00
_cell_angle_beta 109.12
_cell_angle_gamma 90.00
_symmetry_space_group_name_H-M 'C 1 2/m 1'
_symmetry_Int_Tables_number 12
loop_
_symmetry_equiv_pos_as_xyz
'x,y,z'
'-x,-y,-z'
'-x,y,-z'
'x,-y,z'
'x+1/2,y+1/2,z'
'-x+1/2,-y+1/2,-z'
'-x+1/2,y+1/2,-z'
'x+1/2,-y+1/2,z'
loop_
_atom_site_label
_atom_site_fract_x
_atom_site_fract_y
_atom_site_fract_z
Li1 0.250 0.250 0.000
As1 0.000 0.000 0.500
Ru1 0.000 0.500 0.500
# energy = -4.9282 eV per atom
# ΔH_f (0 K) = -0.1251 eV per atom
# ρ = 5.7 g/cm³

=====

Entry 2:
# GGA-PBEsol MgTlAs, relaxed
data_MgTlAs
_chemical_formula_sum 'Mg2 Tl2 As2'
_cell_length_a 3.422
_cell_length_b 3.422
_cell_length_c 11.819
_cell_angle_alpha 90.00
_cell_angle_beta 90.00
_cell_angle_gamma 90.00
_symmetry_space_group_name_H-M 'I 4 m m'
_symmetry_Int_Tables_number 107
_symmetry_space_group_name_Hall 'I 4 -2'
loop_
_atom_site_label
_atom_site_fract_x
_atom_site_fract_y
_atom_site_fract_z
Mg1 0.000 0.000 0.000
Tl1 0.000 0.000 0.297
As1 0.000 0.000 0.613
# energy = -3.2139 eV per atom
# ΔH_f (0 K) = -0.0627 eV per atom
# ρ = 7.3 g/cm³